## Li2Cd2In2CuPd (PBE)

Data for an optimized crystal structure of Li2Cd2In2CuPd.

POSCAR file:
```
Li2Cd2In2CuPd
1.0
4.6117 0.0000 0.0000
0.0000 4.6117 0.0000
0.0000 0.0000 6.5169
Li Cd In Cu Pd
2 2 2 1 1
Cartesian
0.0000 0.0000 0.0000
2.3058 2.3058 3.2584
0.0000 2.3058 4.8793
2.3058 0.0000 1.6375
0.0000 2.3058 1.6329
2.3058 0.0000 4.8840
0.0000 0.0000 3.2584
2.3058 2.3058 0.0000
```

Symmetry: P-4m2
Final energy (Ha/atom): -0.103
Volume (Å³/cell): 138.6



## RbTb2CuTe3Se (PBE)

Data for an optimized crystal structure of RbTb2CuTe3Se.

POSCAR file:
```
RbTb2CuTe3Se
1.0
2.1530 -7.4846 0.0000
2.1530 7.4846 0.0000
0.0000 0.0000 15.5039
Rb Tb Cu Te Se
2 4 2 6 2
Cartesian
2.1530 5.6866 11.6279
2.1530 -5.6866 3.8760
2.1530 1.8589 8.7095
2.1530 1.8589 14.5464
2.1530 -1.8589 0.9575
2.1530 -1.8589 6.7944
2.1530 5.0724 3.8760
2.1530 -5.0724 11.6279
2.1530 3.5773 1.6859
2.1530 3.5773 6.0661
2.1530 0.9257 11.6279
2.1530 -0.9257 3.8760
2.1530 -3.5773 9.4379
2.1530 -3.5773 13.8180
0.0000 0.0000 0.0000
0.0000 0.0000 7.7520
```

Symmetry: Cmcm
Final energy (Ha/atom): -0.168
Energy relative to the lowest polymorph listed for this composition (meV per atom): 21.7
Volume (Å³/cell): 499.7



## ZrNbB4 (PBE)

Data for an optimized crystal structure of ZrNbB4.

POSCAR file:
```
ZrNbB4
1.0
3.1403 0.0000 0.0000
-1.5701 2.7195 0.0000
0.0000 0.0000 6.8740
Zr Nb B
1 1 4
Cartesian
0.0000 0.0000 0.0000
0.0000 0.0000 3.4370
0.0000 1.8130 1.7715
0.0000 1.8130 5.1025
1.5701 0.9065 1.7715
1.5701 0.9065 5.1025
```

Symmetry: P6/mmm
Final energy (Ha/atom): -0.309
Volume (Å³/cell): 58.7



- What is the final energy in the second record?
  -0.168 Ha/atom



- volume of number 3 (ZrNbB4)?
  58.7 Å³/cell